# 1
The following is a GGA-PBE calculation of a geometry-optimized PaAg2S3 structure, from Alexandria via LeMat-Bulk.

Lattice parameters (Å, degrees): 4.123 10.020 9.308 131.17 90.00 101.87
Site moments in Bohr magnetons follow the coordinates.
Positions (direct):
Ag 0.683 0.365 0.978  0.01
S 0.316 0.632 0.758  -0.01
Pa 0.000 0.000 0.500  0.96
S 0.378 0.756 0.348  -0.02
S 0.003 0.006 0.804  -0.03
Ag 0.169 0.338 0.393  0.00
Ag 0.831 0.662 0.607  0.00
S 0.997 0.994 0.196  -0.03
Pa 0.500 0.000 0.000  0.87
S 0.684 0.368 0.242  -0.01
S 0.622 0.244 0.652  -0.02
Ag 0.317 0.635 0.022  0.01

Values from the calculation:
DOS at the Fermi energy: 0.5883 states/eV per atom
Raw formation energy: -0.775 eV per atom
V: 139.21 Å³/f.u.
Crystal system: monoclinic

# 2
The following is a GGA-PBE calculation of a geometry-optimized Pa6Ag3S14 structure, from Alexandria via LeMat-Bulk.

Lattice parameters (Å, degrees): 5.761 9.791 9.791 120.00 90.00 90.00
Site moments in Bohr magnetons follow the coordinates.
Positions (direct):
Ag 0.347 0.333 0.667  -0.01
Pa 0.737 0.439 0.959  0.79
Ag 0.847 0.000 0.000  -0.01
S 0.217 0.559 0.485  -0.03
S 0.010 0.164 0.895  -0.03
S 0.722 0.399 0.221  -0.03
S 0.509 0.229 0.398  -0.03
Pa 0.236 0.295 0.187  0.78
S 0.722 0.779 0.179  -0.03
Ag 0.505 0.667 0.333  -0.01
Pa 0.236 0.813 0.107  0.78
Pa 0.737 0.041 0.480  0.79
S 0.010 0.731 0.836  -0.03
S 0.217 0.515 0.074  -0.03
S 0.426 0.000 0.000  -0.03
S 0.722 0.821 0.601  -0.03
S 0.010 0.105 0.269  -0.03
S 0.217 0.926 0.441  -0.03
S 0.509 0.169 0.771  -0.03
Pa 0.236 0.893 0.705  0.78
S 0.928 0.333 0.667  -0.03
S 0.509 0.602 0.831  -0.03
Pa 0.737 0.520 0.561  0.79

Values from the calculation:
DOS at the Fermi energy: 1.1108 states/eV per atom
Raw formation energy: -1.259 eV per atom
V: 478.26 Å³/f.u.
Crystal system: trigonal

# 3
The following is a GGA-PBE calculation of a geometry-optimized Pa2Ag2S7 structure, from Alexandria via LeMat-Bulk.

Lattice parameters (Å, degrees): 6.872 7.128 7.128 120.38 99.53 99.53
Positions (direct):
S 0.000 0.000 0.000
Ag 0.749 0.212 0.212
S 0.267 0.924 0.532
Ag 0.251 0.788 0.788
S 0.267 0.532 0.924
Pa 0.500 0.669 0.331
S 0.282 0.301 0.301
S 0.733 0.076 0.468
S 0.718 0.699 0.699
Pa 0.500 0.331 0.669
S 0.733 0.468 0.076

Values from the calculation:
DOS at the Fermi energy: 0.1312 states/eV per atom
Raw formation energy: -0.891 eV per atom
V: 283.97 Å³/f.u.
Crystal system: monoclinic

# 4
The following is a GGA-PBE calculation of a geometry-optimized PaAg6S8 structure, from Alexandria via LeMat-Bulk.

Lattice parameters (Å, degrees): 7.126 7.126 7.126 71.58 71.58 71.58
Positions (direct):
Ag 0.567 0.398 0.834
Ag 0.834 0.567 0.398
Ag 0.398 0.834 0.567
S 0.895 0.223 0.633
Ag 0.433 0.602 0.166
Ag 0.166 0.433 0.602
S 0.223 0.633 0.895
S 0.833 0.833 0.833
S 0.633 0.895 0.223
S 0.367 0.105 0.777
S 0.105 0.777 0.367
S 0.777 0.367 0.105
S 0.167 0.167 0.167
Pa 0.000 0.000 0.000
Ag 0.602 0.166 0.433

Values from the calculation:
DOS at the Fermi energy: 0.2651 states/eV per atom
Raw formation energy: -0.146 eV per atom
V: 316.15 Å³/f.u.
Crystal system: trigonal

# 5
The following is a GGA-PBE calculation of a geometry-optimized PaAg3S4 structure, from Alexandria via LeMat-Bulk.

Lattice parameters (Å, degrees): 6.342 6.342 6.342 90.00 90.00 90.00
Positions (direct):
S 0.231 0.769 0.769
S 0.231 0.231 0.231
S 0.769 0.231 0.769
Ag 0.000 0.000 0.500
Ag 0.500 0.000 0.000
Pa 0.000 0.000 0.000
Ag 0.000 0.500 0.000
S 0.769 0.769 0.231

Values from the calculation:
E above lowest polymorph: 0.91 eV/f.u.
Raw formation energy: -0.501 eV per atom
V: 255.03 Å³/f.u.
Crystal system: cubic

# 6
The following is a GGA-PBE calculation of a geometry-optimized Pa6AgS12 structure, from Alexandria via LeMat-Bulk.

Lattice parameters (Å, degrees): 7.906 7.906 7.906 100.98 100.98 100.98
Site moments in Bohr magnetons follow the coordinates.
Positions (direct):
S 0.176 0.427 0.569  -0.04
S 0.322 0.059 0.936  -0.04
Ag 0.000 0.000 0.000  0.00
S 0.936 0.322 0.059  -0.04
S 0.064 0.678 0.941  -0.04
S 0.431 0.824 0.573  -0.04
Pa 0.867 0.383 0.702  1.06
S 0.573 0.431 0.824  -0.04
Pa 0.702 0.867 0.383  1.06
Pa 0.617 0.298 0.133  1.06
S 0.824 0.573 0.431  -0.04
S 0.678 0.941 0.064  -0.04
Pa 0.133 0.617 0.298  1.06
S 0.941 0.064 0.678  -0.04
S 0.569 0.176 0.427  -0.04
Pa 0.383 0.702 0.867  1.06
S 0.059 0.936 0.322  -0.04
S 0.427 0.569 0.176  -0.04
Pa 0.298 0.133 0.617  1.06

Values from the calculation:
DOS at the Fermi energy: 1.4459 states/eV per atom
Raw formation energy: -1.433 eV per atom
V: 462.90 Å³/f.u.
Crystal system: trigonal

# 7
The following is a GGA-PBE calculation of a geometry-optimized PaAgSbS structure, from Alexandria via LeMat-Bulk.

Lattice parameters (Å, degrees): 4.365 4.365 9.480 90.00 90.00 90.00
Site moments in Bohr magnetons follow the coordinates.
Positions (direct):
Ag 0.000 0.000 0.000  0.00
Pa 0.000 0.500 0.322  0.92
S 0.500 0.500 0.500  -0.04
Sb 0.500 0.000 0.198  -0.03
Ag 0.500 0.500 0.000  0.00
Sb 0.000 0.500 0.802  -0.03
Pa 0.500 0.000 0.678  0.92
S 0.000 0.000 0.500  -0.04

Values from the calculation:
DOS at the Fermi energy: 1.2413 states/eV per atom
Raw formation energy: -0.754 eV per atom
V: 90.30 Å³/f.u.
Crystal system: tetragonal

# 8
The following is a GGA-PBE calculation of a geometry-optimized Sc2PaAg2S6 structure, from Alexandria via LeMat-Bulk.

Lattice parameters (Å, degrees): 6.685 6.685 6.641 92.57 92.57 119.80
Site moments in Bohr magnetons follow the coordinates.
Positions (direct):
S 0.681 0.681 0.714  -0.01
S 0.319 0.319 0.286  -0.01
Pa 0.000 0.000 0.500  0.42
Sc 0.662 0.338 0.500  0.04
S 0.016 0.364 0.711  -0.01
S 0.984 0.636 0.289  -0.01
Ag 0.876 0.124 0.000  0.00
Sc 0.338 0.662 0.500  0.04
S 0.364 0.016 0.711  -0.01
Ag 0.124 0.876 0.000  0.00
S 0.636 0.984 0.289  -0.01

Values from the calculation:
DOS at the Fermi energy: 0.4091 states/eV per atom
Raw formation energy: -1.307 eV per atom
V: 256.53 Å³/f.u.
Crystal system: monoclinic

# 9
The following is a GGA-PBE calculation of a geometry-optimized Sc3PaAg3S8 structure, from Alexandria via LeMat-Bulk.

Lattice parameters (Å, degrees): 7.674 7.673 7.652 120.34 90.00 120.00
Site moments in Bohr magnetons follow the coordinates.
Positions (direct):
S 0.257 0.513 0.272  0.00
Sc 0.000 0.500 0.500  0.10
Ag 0.500 0.500 0.000  0.00
Sc 0.500 0.000 0.500  0.10
Ag 0.000 0.500 0.000  0.00
S 0.250 0.983 0.731  -0.01
S 0.733 0.983 0.731  -0.01
Pa 0.000 0.000 0.500  0.69
S 0.743 0.487 0.728  0.00
S 0.249 0.499 0.730  -0.01
Ag 0.000 0.000 0.000  0.00
S 0.751 0.501 0.270  -0.01
S 0.750 0.017 0.269  -0.01
Sc 0.500 0.500 0.500  0.10
S 0.267 0.017 0.269  -0.01

Values from the calculation:
DOS at the Fermi energy: 0.5073 states/eV per atom
Raw formation energy: -1.244 eV per atom
V: 316.92 Å³/f.u.
Crystal system: monoclinic

# 10
The following is a GGA-PBE calculation of a geometry-optimized Pa2AgSeS4 structure, from Alexandria via LeMat-Bulk.

Lattice parameters (Å, degrees): 3.874 6.551 8.317 59.87 76.53 72.80
Site moments in Bohr magnetons follow the coordinates.
Positions (direct):
Se 0.500 0.500 0.500  -0.02
S 0.641 0.659 0.059  -0.02
S 0.822 0.031 0.326  -0.02
S 0.178 0.969 0.674  -0.02
Ag 0.000 0.000 0.000  0.00
S 0.359 0.341 0.941  -0.02
Pa 0.824 0.651 0.700  0.46
Pa 0.176 0.349 0.300  0.46

Values from the calculation:
DOS at the Fermi energy: 0.5843 states/eV per atom
Raw formation energy: -1.256 eV per atom
V: 173.46 Å³/f.u.
Crystal system: monoclinic

# 11
The following is a GGA-PBE calculation of a geometry-optimized Pa2AgSe4S structure, from Alexandria via LeMat-Bulk.

Lattice parameters (Å, degrees): 3.912 6.556 8.551 62.76 76.78 72.64
Site moments in Bohr magnetons follow the coordinates.
Positions (direct):
Pa 0.158 0.365 0.318  0.14
Ag 0.000 0.000 0.000  0.00
Se 0.826 0.026 0.323  -0.01
Se 0.641 0.656 0.062  -0.01
Se 0.174 0.974 0.677  -0.01
Se 0.359 0.344 0.938  -0.01
S 0.500 0.500 0.500  -0.01
Pa 0.842 0.635 0.682  0.14

Values from the calculation:
DOS at the Fermi energy: 0.4776 states/eV per atom
Raw formation energy: -1.153 eV per atom
V: 184.98 Å³/f.u.
Crystal system: monoclinic

# 12
The following is a GGA-PBE calculation of a geometry-optimized Sm2PaAgS6 structure, from Alexandria via LeMat-Bulk.

Lattice parameters (Å, degrees): 6.668 6.388 6.388 90.00 90.00 90.00
Positions (direct):
S 0.753 0.756 0.244
S 0.150 0.000 0.000
Ag 0.509 0.000 0.000
Sm 0.995 0.500 0.000
S 0.753 0.244 0.244
S 0.753 0.244 0.756
Pa 0.594 0.500 0.500
S 0.192 0.500 0.500
S 0.753 0.756 0.756
Sm 0.995 0.000 0.500

Values from the calculation:
Raw formation energy: -1.259 eV per atom
V: 272.07 Å³/f.u.
Crystal system: tetragonal

# 13
The following is a GGA-PBE calculation of a geometry-optimized SrPaAgS4 structure, from Alexandria via LeMat-Bulk.

Lattice parameters (Å, degrees): 9.273 7.723 8.578 123.73 90.00 126.89
Positions (direct):
S 0.785 0.571 0.735
Sr 0.072 0.143 0.822
Pa 0.500 0.000 0.000
Sr 0.928 0.857 0.178
S 0.215 0.429 0.664
Ag 0.500 0.500 0.500
Ag 0.000 0.500 0.500
S 0.215 0.429 0.265
S 0.281 0.918 0.209
S 0.719 0.082 0.791
S 0.785 0.571 0.336
S 0.637 0.918 0.209
S 0.363 0.082 0.791
Pa 0.500 0.000 0.500

Values from the calculation:
Raw formation energy: -1.387 eV per atom
V: 176.79 Å³/f.u.
Crystal system: orthorhombic

# 14
The following is a GGA-PBE calculation of a geometry-optimized SrPa2AgS8 structure, from Alexandria via LeMat-Bulk.

Lattice parameters (Å, degrees): 6.200 6.200 8.040 90.00 90.00 120.00
Positions (direct):
Pa 0.667 0.333 0.116
S 0.818 0.182 0.823
S 0.818 0.637 0.823
S 0.182 0.363 0.177
Ag 0.000 0.000 0.000
Sr 0.000 0.000 0.500
S 0.363 0.182 0.823
S 0.637 0.818 0.177
S 0.667 0.333 0.420
S 0.182 0.818 0.177
S 0.333 0.667 0.580
Pa 0.333 0.667 0.884

Values from the calculation:
DOS at the Fermi energy: 0.3059 states/eV per atom
Raw formation energy: -0.917 eV per atom
V: 267.64 Å³/f.u.
Crystal system: trigonal

# 15
The following is a GGA-PBE calculation of a geometry-optimized Sr2PaAgS5 structure, from Alexandria via LeMat-Bulk.

Lattice parameters (Å, degrees): 4.129 8.968 12.798 90.00 90.00 103.31
Positions (direct):
Ag 0.567 0.133 0.942
S 0.635 0.270 0.501
Sr 0.117 0.233 0.314
S 0.713 0.425 0.887
S 0.365 0.730 0.001
Pa 0.784 0.569 0.522
Sr 0.911 0.821 0.166
Sr 0.089 0.179 0.666
S 0.728 0.455 0.161
S 0.501 0.002 0.272
S 0.929 0.858 0.560
Sr 0.883 0.767 0.814
Pa 0.216 0.431 0.022
S 0.272 0.545 0.661
S 0.071 0.142 0.060
Ag 0.433 0.867 0.442
S 0.499 0.998 0.772
S 0.287 0.575 0.387

Values from the calculation:
Raw formation energy: -1.579 eV per atom
V: 230.58 Å³/f.u.
Crystal system: orthorhombic

# 16
The following is a GGA-PBE calculation of a geometry-optimized Sr2PaAg2S6 structure, from Alexandria via LeMat-Bulk.

Lattice parameters (Å, degrees): 6.750 6.750 6.916 90.00 90.00 120.00
Positions (direct):
Ag 0.333 0.667 0.000
Pa 0.000 0.000 0.000
S 0.680 0.000 0.226
S 0.320 0.000 0.774
S 0.000 0.680 0.226
Sr 0.333 0.667 0.500
S 0.000 0.320 0.774
Ag 0.667 0.333 0.000
Sr 0.667 0.333 0.500
S 0.680 0.680 0.774
S 0.320 0.320 0.226

Values from the calculation:
DOS at the Fermi energy: 0.9252 states/eV per atom
Raw formation energy: -1.189 eV per atom
V: 272.87 Å³/f.u.
Crystal system: trigonal

# 17
The following is a GGA-PBE calculation of a geometry-optimized PaTa2Ag2S6 structure, from Alexandria via LeMat-Bulk.

Lattice parameters (Å, degrees): 6.244 6.244 6.930 89.75 89.75 118.11
Site moments in Bohr magnetons follow the coordinates.
Positions (direct):
Ag 0.868 0.132 0.000  0.01
S 0.372 0.001 0.702  0.00
S 0.340 0.340 0.262  -0.01
Ta 0.365 0.635 0.500  0.12
S 0.660 0.660 0.738  -0.01
S 0.001 0.372 0.702  0.00
Ta 0.635 0.365 0.500  0.12
Ag 0.132 0.868 0.000  0.01
S 0.628 0.999 0.298  0.00
S 0.999 0.628 0.298  0.00
Pa 0.000 0.000 0.500  0.18

Values from the calculation:
DOS at the Fermi energy: 0.4748 states/eV per atom
Raw formation energy: -0.863 eV per atom
V: 238.34 Å³/f.u.
Crystal system: monoclinic

# 18
The following is a GGA-PBE calculation of a geometry-optimized PaAgTe2S6 structure, from Alexandria via LeMat-Bulk.

Lattice parameters (Å, degrees): 7.262 7.975 7.593 91.04 119.16 126.15
Positions (direct):
S 0.806 0.745 0.207
Pa 0.013 0.022 0.047
S 0.481 0.821 0.690
Ag 0.899 0.490 0.304
Te 0.636 0.805 0.468
S 0.858 0.661 0.709
Te 0.482 0.247 0.584
S 0.157 0.173 0.788
S 0.533 0.134 0.320
S 0.100 0.380 0.185

Values from the calculation:
Raw formation energy: -0.437 eV per atom
V: 279.40 Å³/f.u.
Crystal system: triclinic

# 19
The following is a GGA-PBE calculation of a geometry-optimized PaTi2Ag2S6 structure, from Alexandria via LeMat-Bulk.

Lattice parameters (Å, degrees): 6.346 6.346 6.764 91.54 91.54 118.89
Site moments in Bohr magnetons follow the coordinates.
Positions (direct):
Ag 0.132 0.868 0.000  0.01
S 0.989 0.627 0.293  -0.02
S 0.011 0.373 0.707  -0.02
S 0.627 0.989 0.293  -0.02
Pa 0.000 0.000 0.500  0.59
S 0.665 0.665 0.719  -0.03
S 0.373 0.011 0.707  -0.02
Ti 0.347 0.653 0.500  0.86
Ag 0.868 0.132 0.000  0.01
S 0.335 0.335 0.281  -0.03
Ti 0.653 0.347 0.500  0.86

Values from the calculation:
DOS at the Fermi energy: 0.4306 states/eV per atom
Raw formation energy: -1.058 eV per atom
V: 238.11 Å³/f.u.
Crystal system: monoclinic

# 20
The following is a GGA-PBE calculation of a geometry-optimized PaTiAgS4 structure, from Alexandria via LeMat-Bulk.

Lattice parameters (Å, degrees): 8.179 7.570 7.293 118.80 90.00 122.70
Site moments in Bohr magnetons follow the coordinates.
Positions (direct):
S 0.708 0.992 0.246  -0.03
S 0.741 0.481 0.732  -0.03
S 0.259 0.519 0.751  -0.03
Ti 0.500 0.000 0.500  0.93
Ti 0.500 0.000 0.000  0.93
Ag 0.086 0.172 0.836  0.01
S 0.259 0.519 0.268  -0.03
Ag 0.914 0.828 0.164  0.01
S 0.716 0.008 0.754  -0.03
Pa 0.000 0.500 0.500  0.71
S 0.292 0.008 0.754  -0.03
S 0.741 0.481 0.249  -0.03
Pa 0.500 0.500 0.500  0.71
S 0.284 0.992 0.246  -0.03

Values from the calculation:
DOS at the Fermi energy: 0.6348 states/eV per atom
Raw formation energy: -1.204 eV per atom
V: 155.78 Å³/f.u.
Crystal system: orthorhombic